First-principles (PBE) data for an optimized crystal structure of Tm2ScP, as listed in the Alexandria database.

Computed properties:
Calculated volume, Å³/atom: 27.7
VASP energy, eV per atom: -5.572
Space-group type: R-3m
Formation energy from the elements, meV/atom: -401.1

abc: 9.8882 9.8882 9.8882
angles: 21.20 21.20 21.20
Last column: nearest neighbours and their distance in Å.
Fractional coordinates of all 4 atoms:
Tm (0.1105, 0.1105, 0.1105)  3 P 2.66
Tm (0.8895, 0.8895, 0.8895)  3 P 2.66
Sc (0.0000, 0.0000, 0.0000)  2 Tm 3.20
P (0.5000, 0.5000, 0.5000)  6 Tm 2.66


First-principles (PBE) data for an optimized crystal structure of TmSc2P3, as listed in the Alexandria database.

Computed properties:
Calculated volume, Å³/atom: 19.8
VASP energy, eV per atom: -7.073
Space-group type: Pnma
Formation energy from the elements, meV/atom: -1511.9

abc: 7.6296 5.4172 11.4828
angles: 90.00 90.00 90.00
Last column: nearest neighbours and their distance in Å.
Fractional coordinates of all 24 atoms:
Tm (0.1271, 0.2500, 0.0813)  6 P 2.71-2.75
Tm (0.3729, 0.7500, 0.5813)  6 P 2.71-2.75
Tm (0.6271, 0.2500, 0.4187)  6 P 2.71-2.75
Tm (0.8729, 0.7500, 0.9187)  6 P 2.71-2.75
Sc (0.1235, 0.2500, 0.4158)  6 P 2.69-2.71
Sc (0.1251, 0.2500, 0.7521)  6 P 2.65-2.71
Sc (0.3749, 0.7500, 0.2521)  6 P 2.65-2.71
Sc (0.3765, 0.7500, 0.9158)  6 P 2.69-2.71
Sc (0.6235, 0.2500, 0.0842)  6 P 2.69-2.71
Sc (0.6251, 0.2500, 0.7479)  6 P 2.65-2.71
Sc (0.8749, 0.7500, 0.2479)  6 P 2.65-2.71
Sc (0.8765, 0.7500, 0.5842)  6 P 2.69-2.71
P (0.1182, 0.7500, 0.4130)  5 Sc 2.65-2.71, 1 Tm 2.74
P (0.1248, 0.7500, 0.7510)  4 Sc 2.69-2.71, 2 Tm 2.72
P (0.1316, 0.7500, 0.0859)  3 Sc 2.66-2.70, 3 Tm 2.71-2.75
P (0.3684, 0.2500, 0.5859)  3 Sc 2.66-2.70, 3 Tm 2.71-2.75
P (0.3752, 0.2500, 0.2510)  4 Sc 2.69-2.71, 2 Tm 2.72
P (0.3818, 0.2500, 0.9130)  5 Sc 2.65-2.71, 1 Tm 2.74
P (0.6182, 0.7500, 0.0870)  5 Sc 2.65-2.71, 1 Tm 2.74
P (0.6248, 0.7500, 0.7490)  4 Sc 2.69-2.71, 2 Tm 2.72
P (0.6316, 0.7500, 0.4141)  3 Sc 2.66-2.70, 3 Tm 2.71-2.75
P (0.8684, 0.2500, 0.9141)  3 Sc 2.66-2.70, 3 Tm 2.71-2.75
P (0.8752, 0.2500, 0.2490)  4 Sc 2.69-2.71, 2 Tm 2.72
P (0.8818, 0.2500, 0.5870)  5 Sc 2.65-2.71, 1 Tm 2.74


First-principles (PBE) data for an optimized crystal structure of Tm3ScP4, as listed in the Alexandria database.

Computed properties:
Calculated volume, Å³/atom: 21.0
VASP energy, eV per atom: -6.740
Space-group type: Cmmm
Formation energy from the elements, meV/atom: -1566.4

abc: 6.7579 6.7579 3.9051
angles: 90.00 90.00 109.47
Last column: nearest neighbours and their distance in Å.
Fractional coordinates of all 8 atoms:
Tm (0.0000, 0.0000, 0.0000)  6 P 2.80
Tm (0.0000, 0.5000, 0.5000)  6 P 2.76
Tm (0.5000, 0.0000, 0.5000)  6 P 2.76
Sc (0.5000, 0.5000, 0.0000)  6 P 2.72
P (0.2538, 0.7462, 0.0000)  1 Sc 2.72, 5 Tm 2.76-2.80
P (0.2573, 0.2573, 0.5000)  2 Sc 2.72, 4 Tm 2.76-2.80
P (0.7427, 0.7427, 0.5000)  2 Sc 2.72, 4 Tm 2.76-2.80
P (0.7462, 0.2538, 0.0000)  1 Sc 2.72, 5 Tm 2.76-2.80


First-principles (PBE) data for an optimized crystal structure of Tm5ScP6, as listed in the Alexandria database.

Computed properties:
Calculated volume, Å³/atom: 21.3
VASP energy, eV per atom: -6.675
Space-group type: C2/m
Formation energy from the elements, meV/atom: -1579.5

abc: 6.7876 6.7876 6.7867
angles: 99.61 99.61 119.98
Last column: nearest neighbours and their distance in Å.
Fractional coordinates of all 12 atoms:
Tm (0.0000, 0.0000, 0.0000)  6 P 2.77-2.82
Tm (0.1663, 0.8337, 0.5000)  6 P 2.77-2.78
Tm (0.3322, 0.6678, 0.0000)  6 P 2.77-2.81
Tm (0.6678, 0.3322, 0.0000)  6 P 2.77-2.81
Tm (0.8337, 0.1663, 0.5000)  6 P 2.77-2.78
Sc (0.5000, 0.5000, 0.5000)  6 P 2.72-2.73
P (0.0905, 0.4181, 0.2540)  1 Sc 2.72, 5 Tm 2.77-2.81
P (0.2548, 0.2548, 0.7469)  1 Sc 2.73, 5 Tm 2.77-2.82
P (0.4181, 0.0905, 0.2540)  1 Sc 2.72, 5 Tm 2.77-2.81
P (0.5819, 0.9095, 0.7460)  1 Sc 2.72, 5 Tm 2.77-2.81
P (0.7452, 0.7452, 0.2531)  1 Sc 2.73, 5 Tm 2.77-2.82
P (0.9095, 0.5819, 0.7460)  1 Sc 2.72, 5 Tm 2.77-2.81